Record 1
# MgVCu2

A relaxed structure of MgVCu2 (PBE, the Alexandria database).

Values from the calculation:
ΔE_f = 0.0850 eV per atom
uncorrected energy = -4.641 eV per atom
M_tot = 0.00 μB per cell

a = 2.739 Å, b = 2.739 Å, c = 7.441 Å
α = 90.00°, β = 90.00°, γ = 90.00°
Space group P4/mmm (No. 123)
Unique sites:
Mg 0.000 0.000 0.000 [1 per cell]
V 0.000 0.000 0.500 [1 per cell]
Cu 0.500 0.500 0.262 [2 per cell]

Record 2
# Mg3VCu

A relaxed structure of Mg3VCu (PBE, the Alexandria database).

Values from the calculation:
ΔE_f = 0.5696 eV per atom
uncorrected energy = -3.030 eV per atom
M_tot = 3.67 μB per cell

a = 4.808 Å, b = 4.808 Å, c = 4.808 Å
α = 90.00°, β = 90.00°, γ = 90.00°
Space group Pm-3m (No. 221)
Unique sites:
Mg 0.000 0.000 0.500 [3 per cell]
V 0.500 0.500 0.500 [1 per cell]
Cu 0.000 0.000 0.000 [1 per cell]

Record 3
# Mg6VCu

A relaxed structure of Mg6VCu (PBE, the Alexandria database).

Values from the calculation:
ΔE_f = 0.1612 eV per atom
uncorrected energy = -2.687 eV per atom
M_tot = 6.27 μB per cell

a = 4.720 Å, b = 6.895 Å, c = 9.697 Å
α = 90.00°, β = 90.00°, γ = 90.00°
Space group Amm2 (No. 38)
Unique sites:
Mg 0.000 0.000 0.000 [2 per cell]
Mg 0.000 0.218 0.266 [4 per cell]
Mg 0.500 0.000 0.768 [2 per cell]
Mg 0.500 0.247 0.526 [4 per cell]
V 0.000 0.000 0.529 [2 per cell]
Cu 0.500 0.000 0.303 [2 per cell]

Record 4
# Mg14VCu

A relaxed structure of Mg14VCu (PBE, the Alexandria database).

Values from the calculation:
ΔE_f = 0.0828 eV per atom
uncorrected energy = -2.138 eV per atom
M_tot = 7.18 μB per cell

a = 10.116 Å, b = 6.243 Å, c = 10.787 Å
α = 90.00°, β = 90.00°, γ = 90.00°
Space group Amm2 (No. 38)
Unique sites:
Mg 0.000 0.000 0.000 [2 per cell]
Mg 0.000 0.000 0.499 [2 per cell]
Mg 0.000 0.249 0.247 [4 per cell]
Mg 0.252 0.000 0.833 [4 per cell]
Mg 0.258 0.000 0.334 [4 per cell]
Mg 0.268 0.248 0.577 [8 per cell]
Mg 0.500 0.247 0.752 [4 per cell]
V 0.500 0.000 0.997 [2 per cell]
Cu 0.500 0.000 0.496 [2 per cell]

Record 5
# MgV2Cu

A relaxed structure of MgV2Cu (PBE, the Alexandria database).

Values from the calculation:
ΔE_f = 0.6735 eV per atom
uncorrected energy = -5.309 eV per atom
M_tot = 0.00 μB per cell

a = 7.136 Å, b = 7.136 Å, c = 4.840 Å
α = 90.00°, β = 90.00°, γ = 90.00°
Space group I-42d (No. 122)
Unique sites:
Mg 0.000 0.000 0.000 [4 per cell]
V 0.224 0.250 0.625 [8 per cell]
Cu 0.000 0.000 0.500 [4 per cell]

Record 6
# MgVCu2

A relaxed structure of MgVCu2 (PBE, the Alexandria database).

Values from the calculation:
ΔE_f = 0.5348 eV per atom
uncorrected energy = -4.192 eV per atom
M_tot = 12.66 μB per cell

a = 6.909 Å, b = 6.909 Å, c = 5.344 Å
α = 90.00°, β = 90.00°, γ = 90.00°
Space group I-42d (No. 122)
Unique sites:
Mg 0.000 0.000 0.000 [4 per cell]
V 0.000 0.000 0.500 [4 per cell]
Cu 0.243 0.250 0.625 [8 per cell]

Record 7
# Mg2VZnCu

A relaxed structure of Mg2VZnCu (PBE, the Alexandria database).

Values from the calculation:
ΔE_f = 0.7932 eV per atom
uncorrected energy = -2.742 eV per atom
M_tot = 2.95 μB per cell

a = 4.818 Å, b = 4.818 Å, c = 4.765 Å
α = 90.00°, β = 90.00°, γ = 90.00°
Space group P4/mmm (No. 123)
Unique sites:
Mg 0.000 0.500 0.000 [2 per cell]
V 0.000 0.000 0.500 [1 per cell]
Zn 0.000 0.000 0.000 [1 per cell]
Cu 0.500 0.500 0.500 [1 per cell]

Record 8
# Mg6CuW

A relaxed structure of Mg6CuW (PBE, the Alexandria database).

Values from the calculation:
ΔE_f = 0.3057 eV per atom
uncorrected energy = -3.021 eV per atom
M_tot = 0.00 μB per cell

a = 4.765 Å, b = 5.987 Å, c = 10.575 Å
α = 90.00°, β = 90.00°, γ = 90.00°
Space group Amm2 (No. 38)
Unique sites:
Mg 0.000 0.000 0.000 [2 per cell]
Mg 0.000 0.000 0.495 [2 per cell]
Mg 0.000 0.242 0.763 [4 per cell]
Mg 0.500 0.249 0.098 [4 per cell]
Cu 0.500 0.000 0.342 [2 per cell]
W 0.500 0.000 0.849 [2 per cell]

Record 9
# MgCuW3

A relaxed structure of MgCuW3 (PBE, the Alexandria database).

Values from the calculation:
ΔE_f = 1.7383 eV per atom
uncorrected energy = -7.172 eV per atom
M_tot = 0.00 μB per cell

a = 4.554 Å, b = 4.554 Å, c = 4.554 Å
α = 90.00°, β = 90.00°, γ = 90.00°
Space group Pm-3m (No. 221)
Unique sites:
Mg 0.000 0.000 0.000 [1 per cell]
Cu 0.500 0.500 0.500 [1 per cell]
W 0.000 0.500 0.500 [3 per cell]

Record 10
# Mg4Cu2W

A relaxed structure of Mg4Cu2W (PBE, the Alexandria database).

Values from the calculation:
ΔE_f = 0.9993 eV per atom
uncorrected energy = -2.933 eV per atom
M_tot = 2.25 μB per cell

a = 5.111 Å, b = 5.111 Å, c = 12.899 Å
α = 90.00°, β = 90.00°, γ = 90.00°
Space group I4/mmm (No. 139)
Unique sites:
Mg 0.000 0.000 0.210 [4 per cell]
Mg 0.000 0.500 0.000 [4 per cell]
Cu 0.000 0.000 0.409 [4 per cell]
W 0.000 0.000 0.000 [2 per cell]

Record 11
# MgCuW4

A relaxed structure of MgCuW4 (PBE, the Alexandria database).

Values from the calculation:
ΔE_f = 0.7074 eV per atom
uncorrected energy = -8.877 eV per atom
M_tot = 0.00 μB per cell

a = 7.503 Å, b = 7.503 Å, c = 7.503 Å
α = 90.00°, β = 90.00°, γ = 90.00°
Space group F-43m (No. 216)
Unique sites:
Mg 0.000 0.000 0.000 [4 per cell]
Cu 0.250 0.250 0.250 [4 per cell]
W 0.125 0.125 0.625 [16 per cell]

Record 12
# MgCuW3

A relaxed structure of MgCuW3 (PBE, the Alexandria database).

Values from the calculation:
ΔE_f = 2.6716 eV per atom
uncorrected energy = -6.238 eV per atom
M_tot = 0.00 μB per cell

a = 4.536 Å, b = 4.536 Å, c = 4.536 Å
α = 90.00°, β = 90.00°, γ = 90.00°
Space group Pm-3m (No. 221)
Unique sites:
Mg 0.000 0.000 0.000 [1 per cell]
Cu 0.500 0.500 0.500 [1 per cell]
W 0.000 0.000 0.500 [3 per cell]

Q: Among the records above, which one has the highest uncorrected energy?
A: Mg14VCu

Q: Among the records above, which one has the highest M_tot?
A: number 6

Copy entry 4 word for word.
# Mg14VCu

A relaxed structure of Mg14VCu (PBE, the Alexandria database).

Values from the calculation:
ΔE_f = 0.0828 eV per atom
uncorrected energy = -2.138 eV per atom
M_tot = 7.18 μB per cell

a = 10.116 Å, b = 6.243 Å, c = 10.787 Å
α = 90.00°, β = 90.00°, γ = 90.00°
Space group Amm2 (No. 38)
Unique sites:
Mg 0.000 0.000 0.000 [2 per cell]
Mg 0.000 0.000 0.499 [2 per cell]
Mg 0.000 0.249 0.247 [4 per cell]
Mg 0.252 0.000 0.833 [4 per cell]
Mg 0.258 0.000 0.334 [4 per cell]
Mg 0.268 0.248 0.577 [8 per cell]
Mg 0.500 0.247 0.752 [4 per cell]
V 0.500 0.000 0.997 [2 per cell]
Cu 0.500 0.000 0.496 [2 per cell]